Record 1
First-principles (GGA-PBE) data for a geometry-optimized LiCd2PtW structure, as listed in Alexandria.

Computed properties:
* symmetry: P4/mmm (123)
* crystal system: tetragonal
* ΔE_f: 1.71 eV per atom
* total energy: -14.21 eV for the cell shown
* volume: 26.43 Å³/atom

abc: 5.260 4.777 5.260
angles: 90.00 90.00 90.00
Fractional positions:
Pt 0.500 0.500 0.500
Cd 0.500 0.000 0.000
Li 0.000 0.500 0.000
Cd 0.000 0.000 0.500
W 0.000 0.000 0.000

=====

Record 2
First-principles (GGA-PBE) data for a geometry-optimized SnN structure, as listed in Alexandria.

Computed properties:
* symmetry: I4/m (87)
* crystal system: tetragonal
* uncorrected formation energy: 491 meV per atom
* total energy: -90.78 eV for the cell shown
* volume: 18.15 Å³/atom

abc: 9.110 9.110 3.500
angles: 90.00 90.00 90.00
Fractional positions:
Sn 0.092 0.251 0.500
Sn 0.908 0.749 0.500
N 0.321 0.142 0.500
Sn 0.749 0.092 0.500
N 0.358 0.821 0.000
Sn 0.408 0.249 0.000
N 0.679 0.858 0.500
Sn 0.251 0.908 0.500
Sn 0.249 0.592 0.000
Sn 0.751 0.408 0.000
Sn 0.592 0.751 0.000
N 0.142 0.679 0.500
N 0.642 0.179 0.000
N 0.858 0.321 0.500
N 0.179 0.358 0.000
N 0.821 0.642 0.000

=====

Record 3
First-principles (GGA-PBE) data for a geometry-optimized Dy2TlSn structure, as listed in Alexandria.

Computed properties:
* symmetry: P2_1/m (11)
* crystal system: monoclinic
* ΔE_f: -0.53 eV per atom
* total energy: -35.42 eV for the cell shown
* volume: 28.22 Å³/atom

abc: 4.324 6.172 9.119
angles: 111.95 90.00 90.00
Fractional positions:
Sn 0.750 0.676 0.797
Sn 0.250 0.324 0.203
Tl 0.750 0.695 0.301
Tl 0.250 0.305 0.699
Dy 0.250 0.765 0.573
Dy 0.250 0.772 0.066
Dy 0.750 0.235 0.427
Dy 0.750 0.228 0.934

=====

Record 4
First-principles (GGA-PBE) data for a geometry-optimized LiLa2Rh structure, as listed in Alexandria.

Computed properties:
* symmetry: I-42d (122)
* crystal system: tetragonal
* ΔE_f: -0.15 eV per atom
* total energy: -39.43 eV for the cell shown
* volume: 27.48 Å³/atom

abc: 8.127 8.127 6.641
angles: 52.27 52.27 90.00
Fractional positions:
La 0.375 0.332 0.750
La 0.668 0.125 0.250
Li 0.500 0.500 0.000
Rh 0.750 0.250 0.500
La 0.082 0.625 0.250
Rh 0.000 0.000 0.000
Li 0.250 0.750 0.500
La 0.875 0.918 0.750